Below is Ca3HoHg12 after structural relaxation, with properties calculated at the PBE level.

Summary:
Uncorrected energy ... -1.2402 eV per atom
M_tot ... 0.00 μB per formula unit
DFT formation energy ... -8.13 kcal/mol of atoms

POSCAR file:
```
Ca3HoHg12
1.0
4.659 0.000 0.000
0.000 4.659 0.000
0.000 0.000 18.695
Ca Ho Hg
3 1 12
Direct
0.000 0.000 0.000 Ca
0.000 0.000 0.251 Ca
0.000 0.000 0.749 Ca
0.000 0.000 0.500 Ho
0.000 0.500 0.126 Hg
0.000 0.500 0.379 Hg
0.000 0.500 0.621 Hg
0.000 0.500 0.874 Hg
0.500 0.000 0.126 Hg
0.500 0.000 0.379 Hg
0.500 0.000 0.621 Hg
0.500 0.000 0.874 Hg
0.500 0.500 0.000 Hg
0.500 0.500 0.252 Hg
0.500 0.500 0.500 Hg
0.500 0.500 0.748 Hg
```